LiYAg2, optimized geometry, DFT PBEsol; formation energy from the elements = -0.17 eV/atom; density of states at the Fermi level = 2.32 states/eV/f.u.
1.0
-0.009 -2.273 2.330
-0.893 -3.384 -3.305
5.025 -0.689 -0.652
Y Ag Li
1 2 1
direct
0.500 0.500 0.184
0.000 0.000 0.031
0.000 0.500 0.687
0.500 0.000 0.599

CaS3F, optimized geometry, DFT PBEsol; E_form (uncorrected) = 356 meV/atom; density of states at the Fermi level = 2.75 states/eV/f.u.
1.0
-3.090 2.494 -3.612
-1.162 -4.725 -2.269
-4.233 -0.524 3.260
Ca S F
1 3 1
direct
0.000 0.000 0.000
0.000 0.500 0.000
0.000 0.000 0.500
0.500 0.000 0.000
0.500 0.500 0.500

Sc3C, optimized geometry, DFT PBEsol; formation energy from the elements = -0.09 eV/atom; density of states at the Fermi level = 2.98 states/eV/f.u.; energy relative to the lowest polymorph listed for this composition = 0.1925 eV/atom
1.0
-0.790 0.745 3.085
1.524 -2.817 -0.663
7.178 3.657 0.955
Sc C
3 1
direct
0.000 0.000 0.500
0.333 0.667 0.839
0.333 0.667 0.161
0.000 0.000 0.000

La7P12Pd17, optimized geometry, DFT PBEsol; formation energy from the elements = -1.07 eV/atom; density of states at the Fermi level = 17.95 states/eV/f.u.
1.0
-0.001 2.456 -3.227
-12.158 -1.650 1.297
4.562 10.154 7.727
La P Pd
7 12 17
direct
0.500 0.000 0.500
0.365 0.731 0.000
0.635 0.269 0.000
0.234 0.468 0.687
0.766 0.532 0.313
0.417 0.834 0.738
0.583 0.166 0.262
0.060 0.120 0.074
0.940 0.880 0.926
0.887 0.774 0.173
0.113 0.226 0.827
0.189 0.378 0.382
0.811 0.622 0.618
0.364 0.729 0.420
0.636 0.271 0.580
0.011 0.021 0.328
0.989 0.979 0.672
0.234 0.467 0.117
0.766 0.533 0.883
0.839 0.678 0.807
0.161 0.322 0.193
0.026 0.052 0.874
0.974 0.948 0.126
0.890 0.780 0.541
0.110 0.220 0.459
0.500 0.000 0.000
0.548 0.095 0.746
0.452 0.905 0.254
0.298 0.595 0.513
0.702 0.405 0.487
0.665 0.331 0.777
0.335 0.669 0.223
0.907 0.814 0.356
0.093 0.186 0.644
0.219 0.437 0.929
0.781 0.563 0.071

BeV3H, optimized geometry, DFT PBEsol; density of states at the Fermi level = 6.14 states/eV/f.u.; uncorrected energy = -7.31 eV/atom
1.0
3.679 0.000 0.000
0.000 3.679 0.000
0.000 0.000 3.679
Be H V
1 1 3
direct
0.500 0.500 0.500
0.000 0.000 0.000
0.000 0.500 0.000
0.000 0.000 0.500
0.500 0.000 0.000

Li2FeRh, optimized geometry, DFT PBEsol; formation energy from the elements = 0.50 eV/atom; density of states at the Fermi level = 4.04 states/eV/f.u.
1.0
4.820 0.000 0.000
2.410 4.669 0.000
2.410 0.000 4.669
Rh Fe Li
2 2 4
direct
0.750 0.500 0.500
0.000 0.000 0.000
0.250 0.500 0.500
0.500 0.000 0.000
0.124 0.001 0.501
0.626 0.999 0.499
0.375 0.501 0.999
0.875 0.499 0.001

KInOs2, optimized geometry, DFT PBEsol; formation energy from the elements = 1.37 eV/atom; density of states at the Fermi level = 3.63 states/eV/f.u.
1.0
-2.284 1.174 0.363
-2.657 -4.791 -1.223
1.319 0.903 5.381
In K Os
1 1 2
direct
0.500 0.000 0.000
0.500 0.500 0.500
0.000 0.500 0.000
0.000 0.000 0.500

LiVO2F2, optimized geometry, DFT PBEsol; E_form (uncorrected) = -2586 meV/atom; density of states at the Fermi level = 0.00 states/eV/f.u.; energy relative to the lowest polymorph listed for this composition = 0.0385 eV/atom
1.0
-2.386 2.642 -3.826
1.311 -4.975 -0.887
-4.801 -1.602 1.889
Li V O F
2 2 4 4
direct
0.250 0.500 0.412
0.750 0.500 0.588
0.250 0.000 0.094
0.750 0.000 0.906
0.025 0.201 0.114
0.475 0.799 0.114
0.525 0.201 0.886
0.975 0.799 0.886
0.052 0.734 0.355
0.552 0.734 0.645
0.448 0.266 0.355
0.948 0.266 0.645

SrLi2Tl, optimized geometry, DFT PBEsol; formation energy from the elements = -0.18 eV/atom; density of states at the Fermi level = 2.31 states/eV/f.u.
1.0
-2.941 2.633 -2.889
-2.420 -2.278 4.530
-0.894 3.066 3.705
Sr Tl Li
1 1 2
direct
0.500 0.000 0.500
0.750 0.500 0.750
0.000 0.000 0.000
0.250 0.500 0.250

CaMn2Au, optimized geometry, DFT PBEsol; formation energy from the elements = 0.45 eV/atom; density of states at the Fermi level = 3.35 states/eV/f.u.
1.0
-0.777 -3.178 -0.622
1.107 -1.167 4.941
-4.436 0.851 1.195
Ca Mn Au
1 2 1
direct
0.500 0.000 0.500
0.009 0.251 0.000
0.991 0.749 0.000
0.000 0.500 0.500

K2InOs, optimized geometry, DFT PBEsol; formation energy from the elements = 0.97 eV/atom; density of states at the Fermi level = 2.78 states/eV/f.u.
1.0
2.858 0.000 0.000
0.000 2.858 0.000
0.000 0.000 11.518
In K Os
1 2 1
direct
0.500 0.500 0.500
0.000 0.000 0.774
0.000 0.000 0.226
0.500 0.500 0.000

TcHg2Pt, optimized geometry, DFT PBEsol; formation energy from the elements = 0.43 eV/atom; density of states at the Fermi level = 3.43 states/eV/f.u.; energy relative to the lowest polymorph listed for this composition = 0.1869 eV/atom
1.0
-2.396 -0.721 1.325
2.643 -2.729 3.293
0.300 5.605 0.567
Hg Pt Tc
2 1 1
direct
0.751 0.751 0.502
0.249 0.249 0.498
0.500 0.000 0.000
0.000 0.500 0.000

YFe2Rh, optimized geometry, DFT PBEsol; formation energy from the elements = 0.15 eV/atom; density of states at the Fermi level = 3.79 states/eV/f.u.
1.0
-0.655 -2.565 1.145
3.476 0.141 2.307
-2.324 3.552 3.284
Fe Rh Y
2 1 1
direct
0.068 0.000 0.796
0.932 0.000 0.204
0.500 0.500 0.000
0.500 0.500 0.500

HfIrS2Cl, optimized geometry, DFT PBEsol; E_form (uncorrected) = 358 meV/atom; density of states at the Fermi level = 7.13 states/eV/f.u.
1.0
4.709 0.000 0.000
0.000 4.863 0.000
0.000 0.000 4.863
S Ir Hf Cl
2 1 1 1
direct
0.000 0.000 0.500
0.000 0.500 0.000
0.500 0.500 0.500
0.000 0.000 0.000
0.500 0.000 0.000

Cd2InCuSe4, optimized geometry, DFT PBEsol; E_form (uncorrected) = -459 meV/atom; density of states at the Fermi level = 0.83 states/eV/f.u.
1.0
4.186 0.000 0.000
0.000 7.237 -0.011
-2.093 -3.619 6.892
In Se Cu Cd
1 4 1 2
direct
0.751 0.405 0.503
0.077 0.748 0.154
0.562 0.227 0.124
0.806 0.115 0.611
0.306 0.662 0.611
0.252 0.931 0.504
0.498 0.817 0.997
0.996 0.345 0.991

Ca2ScBr, optimized geometry, DFT PBEsol; E_form (uncorrected) = -145 meV/atom; density of states at the Fermi level = 5.66 states/eV/f.u.; energy relative to the lowest polymorph listed for this composition = 0.3806 eV/atom
1.0
-0.184 -3.016 3.350
0.773 -3.324 -2.951
5.668 3.779 0.676
Sc Ca Br
1 2 1
direct
0.500 0.500 0.000
0.000 0.000 0.000
0.750 0.250 0.500
0.250 0.750 0.500

Ag2Pt, optimized geometry, DFT PBEsol; formation energy from the elements = 0.07 eV/atom; density of states at the Fermi level = 0.98 states/eV/f.u.; energy relative to the lowest polymorph listed for this composition = 0.0800 eV/atom
1.0
-0.188 2.637 -0.693
-4.384 -0.044 1.026
3.039 1.045 3.153
Pt Ag
1 2
direct
0.000 0.000 0.000
0.651 0.333 0.667
0.349 0.667 0.333

ReTcTeI2, optimized geometry, DFT PBEsol; E_form (uncorrected) = 1601 meV/atom; density of states at the Fermi level = 5.45 states/eV/f.u.
1.0
5.073 0.000 0.000
0.000 5.416 0.000
0.000 0.000 5.416
I Re Te Tc
2 1 1 1
direct
0.000 0.000 0.500
0.000 0.500 0.000
0.000 0.000 0.000
0.500 0.000 0.000
0.500 0.500 0.500

LiSnF3, optimized geometry, DFT PBEsol; E_form (uncorrected) = -2064 meV/atom; energy relative to the lowest polymorph listed for this composition = 0.3834 eV/atom
1.0
-0.830 4.001 2.110
-2.801 -2.140 2.954
3.552 -0.752 2.823
Li Sn F
1 1 3
direct
0.500 0.500 0.500
0.000 0.000 0.000
0.000 0.500 0.000
0.000 0.000 0.500
0.500 0.000 0.000

KAlIr3, optimized geometry, DFT PBEsol; formation energy from the elements = 3.01 eV/atom; density of states at the Fermi level = 7.99 states/eV/f.u.
1.0
-1.305 3.940 1.937
-4.361 -1.396 -0.100
0.504 -1.873 4.149
K Ir Al
1 3 1
direct
0.000 0.000 0.000
0.000 0.500 0.000
0.000 0.000 0.500
0.500 0.000 0.000
0.500 0.500 0.500